1.
Entry from Alexandria: an optimized crystal structure of Tl2HgPbI6 (PBE).

Unit cell a=8.8732 b=8.6085 c=8.9514 alpha=66.78 beta=58.06 gamma=55.56
Element x y z (fractional)
I 0.0859 0.4792 0.7318
Tl 0.5173 0.5262 0.4480
I 0.6530 0.1277 0.7762
I 0.5726 0.1710 0.2844
I 0.4821 0.6965 0.7599
Tl 0.0193 0.0732 0.9059
Pb 0.8204 0.8047 0.5386
Hg 0.3289 0.2317 0.1254
I 0.1895 0.9563 0.2467
I 0.9925 0.5951 0.1983

M_tot ... 0.0 μB/cell
Formation energy from raw total energies ... -0.510 eV/atom

=====

2.
Entry from Alexandria: an optimized crystal structure of Li2Ac3TiO8 (PBE).

Unit cell a=5.6201 b=5.6201 c=7.0587 alpha=90.00 beta=90.00 gamma=120.00
Last column: magnetic moment on the atom in μB.
Element x y z (fractional)
Li 0.3333 0.6667 0.2046  0.01
O 0.1605 0.8395 0.3315  0.06
O 0.3210 0.1605 0.6685  0.06
O 0.3333 0.6667 0.9497  0.22
O 0.8395 0.1605 0.6685  0.06
O 0.1605 0.3210 0.3315  0.06
O 0.6790 0.8395 0.3315  0.06
Ac 0.6667 0.3333 0.3632  0.04
Ti 0.0000 0.0000 0.5000  -0.02
Li 0.6667 0.3333 0.7954  0.01
O 0.6667 0.3333 0.0503  0.22
Ac 0.0000 0.0000 0.0000  0.00
O 0.8395 0.6790 0.6685  0.06
Ac 0.3333 0.6667 0.6368  0.04

M_tot ... 1.0 μB/cell
Formation energy from raw total energies ... -2.757 eV/atom

=====

3.
Entry from Alexandria: an optimized crystal structure of Nd3PuO (PBE).

Unit cell a=5.0637 b=5.0637 c=5.0637 alpha=90.00 beta=90.00 gamma=90.00
Last column: magnetic moment on the atom in μB.
Element x y z (fractional)
Nd 0.5000 0.0000 0.0000  0.12
Pu 0.5000 0.5000 0.5000  5.56
Nd 0.0000 0.0000 0.5000  0.12
O 0.0000 0.0000 0.0000  0.02
Nd 0.0000 0.5000 0.0000  0.12

M_tot ... 6.8 μB/cell
Formation energy from raw total energies ... -0.946 eV/atom